# ZnCoCl

A relaxed structure of ZnCoCl (PBE, Alexandria via LeMat-Bulk).

Output
Energy relative to the lowest polymorph listed for this composition (meV per atom): 0.0
Crystal system: trigonal
E_form (uncorrected) (eV per atom): 0.02
Symmetry: P3m1 (156)

Cell: 3.214 3.214 5.733 Å, 90.00 90.00 120.00°
Each line ends with the local moment (μB).
Fractional coordinates of all 3 atoms:
Cl  0.000  0.000  0.068  0.13
Co  0.333  0.667  0.318  1.80
Zn  0.667  0.333  0.614  0.00